No. 1
DFT (PBE-GGA) results for a relaxed structure of BeSnIr.

Structure (POSCAR):
```
BeSnIr
1.0
-0.827 -3.428 -2.533
0.996 -3.776 1.897
-5.238 0.265 2.177
Sn Ir Be
2 2 2
direct
0.668 0.668 0.345 Sn
0.332 0.332 0.655 Sn
0.269 0.269 0.173 Ir
0.731 0.731 0.827 Ir
0.778 0.222 0.000 Be
0.222 0.778 0.000 Be
```

## Properties
The value obtained for the total DFT energy (no corrections) is -5.758 eV/atom.

=====

No. 2
DFT (PBE-GGA) results for a relaxed structure of BeSn2Ir.

Structure (POSCAR):
```
BeSn2Ir
1.0
7.412 0.000 0.000
0.000 7.412 0.000
3.706 3.706 2.834
Sn Ir Be
4 2 2
direct
0.623 0.125 0.250 Sn
0.375 0.377 0.750 Sn
0.127 0.625 0.250 Sn
0.875 0.873 0.750 Sn
0.000 0.000 0.000 Ir
0.750 0.250 0.500 Ir
0.250 0.750 0.500 Be
0.500 0.500 0.000 Be
```

## Properties
The value obtained for the total DFT energy (no corrections) is -4.626 eV/atom.

=====

No. 3
DFT (PBE-GGA) results for a relaxed structure of BeSnIr2.

Structure (POSCAR):
```
BeSnIr2
1.0
-1.064 -3.962 1.069
2.996 0.005 2.999
-4.234 0.820 7.226
Be Sn Ir
2 2 4
direct
0.250 0.750 0.500 Be
0.500 0.500 0.000 Be
0.750 0.250 0.500 Sn
0.000 0.000 0.000 Sn
0.375 0.461 0.750 Ir
0.539 0.125 0.250 Ir
0.211 0.625 0.250 Ir
0.875 0.789 0.750 Ir
```

## Properties
The value obtained for the total DFT energy (no corrections) is -6.149 eV/atom.

=====

No. 4
DFT (PBE-GGA) results for a relaxed structure of BeSnIr2.

Structure (POSCAR):
```
BeSnIr2
1.0
2.978 0.000 0.000
0.000 2.978 0.000
0.000 0.000 6.439
Be Sn Ir
1 1 2
direct
0.500 0.500 0.000 Be
0.500 0.500 0.500 Sn
0.000 0.000 0.785 Ir
0.000 0.000 0.215 Ir
```

## Properties
The value obtained for the total DFT energy (no corrections) is -6.543 eV/atom.

=====

Please write out number 1 again, unchanged.
DFT (PBE-GGA) results for a relaxed structure of BeSnIr.

Structure (POSCAR):
```
BeSnIr
1.0
-0.827 -3.428 -2.533
0.996 -3.776 1.897
-5.238 0.265 2.177
Sn Ir Be
2 2 2
direct
0.668 0.668 0.345 Sn
0.332 0.332 0.655 Sn
0.269 0.269 0.173 Ir
0.731 0.731 0.827 Ir
0.778 0.222 0.000 Be
0.222 0.778 0.000 Be
```

## Properties
The value obtained for the total DFT energy (no corrections) is -5.758 eV/atom.